(i)
DFT (PBE-GGA) results for an optimized crystal structure of NdPuTc.

- space-group type = Cmcm, No. 63
- volume (Å³ per cell) = 147
- spin magnetization (μB per cell) = 9.5

Lattice parameters (Å, degrees): 4.065 6.088 6.311 90.00 90.00 109.50
Site moments in Bohr magnetons follow the coordinates.
Fractional positions:
Nd1 0.286 0.572 0.750  0.13
Pu1 0.000 0.000 0.000  4.93
Nd2 0.714 0.428 0.250  0.13
Pu2 0.000 0.000 0.500  4.93
Tc1 0.579 0.158 0.750  -0.67
Tc2 0.421 0.842 0.250  -0.67


(ii)
DFT (PBE-GGA) results for an optimized crystal structure of NdPuTc.

- space-group type = I4mm, No. 107
- volume (Å³ per cell) = 71
- spin magnetization (μB per cell) = 4.6

Lattice parameters (Å, degrees): 3.546 3.546 6.206 106.60 106.60 90.00
Site moments in Bohr magnetons follow the coordinates.
Fractional positions:
Tc1 0.699 0.699 0.399  -0.74
Nd1 0.006 0.006 0.013  0.15
Pu1 0.294 0.294 0.588  4.89


The calculated energies rank the structures as follows, beginning with the most stable: (i), (ii).